DFT (GGA-PBEsol) results for an optimized crystal structure of ZnAs2IBr.

Output
raw formation energy = 1.12 eV per atom
energy = -1.9702 eV/atom
density of states at the Fermi level = 0.99 states/eV per atom
symmetry = No. 123

a b c (Å): 5.3820 5.3820 5.6877
angles (deg): 90.00 90.00 90.00
Last column: magnetic moment on the atom in μB.
Sites, in units of the cell vectors:
I1 0.0000 0.0000 0.0000  0.00
As1 0.0000 0.5000 0.0000  0.25
As2 0.5000 0.0000 0.0000  0.25
Zn1 0.5000 0.5000 0.5000  0.01
Br1 0.0000 0.0000 0.5000  0.06

DFT (GGA-PBEsol) results for an optimized crystal structure of ZrAs2IBr.

Output
raw formation energy = 1.13 eV per atom
energy = -3.4542 eV/atom
density of states at the Fermi level = 1.12 states/eV per atom
symmetry = No. 123

a b c (Å): 5.2332 5.2332 5.3244
angles (deg): 90.00 90.00 90.00
Last column: magnetic moment on the atom in μB.
Sites, in units of the cell vectors:
I1 0.0000 0.0000 0.0000  0.03
As1 0.0000 0.5000 0.0000  -0.07
As2 0.5000 0.0000 0.0000  -0.07
Br1 0.0000 0.0000 0.5000  -0.02
Zr1 0.5000 0.5000 0.5000  0.96

DFT (GGA-PBEsol) results for an optimized crystal structure of InAsBr3.

Output
raw formation energy = -0.30 eV per atom
energy = -3.0410 eV/atom
density of states at the Fermi level = 0.43 states/eV per atom
symmetry = No. 221

a b c (Å): 5.3317 5.3317 5.3317
angles (deg): 90.00 90.00 90.00
Sites, in units of the cell vectors:
As1 0.0000 0.0000 0.0000
Br1 0.0000 0.5000 0.0000
Br2 0.0000 0.0000 0.5000
Br3 0.5000 0.0000 0.0000
In1 0.5000 0.5000 0.5000

DFT (GGA-PBEsol) results for an optimized crystal structure of InAs2Br.

Output
raw formation energy = 0.33 eV per atom
energy = -3.4397 eV/atom
energy above the most stable polymorph in this dataset = 445.9 meV per atom
density of states at the Fermi level = 0.52 states/eV per atom
symmetry = No. 139

a b c (Å): 4.9407 4.9407 4.9164
angles (deg): 120.16 120.16 90.00
Sites, in units of the cell vectors:
As1 0.7500 0.2500 0.5000
As2 0.2500 0.7500 0.5000
Br1 0.5000 0.5000 0.0000
In1 0.0000 0.0000 0.0000